# 1
A plane-wave DFT calculation with GGA-PBE was carried out for an optimized crystal structure of BeFe3Mo2.

a = 4.6645 Å, b = 4.6645 Å, c = 7.5408 Å
α = 90.00°, β = 90.00°, γ = 120.00°
With the nearest neighbours (Å) after each atom.
Fractional positions:
Fe 0.6642 0.8321 0.7500  4 Fe 2.31-2.35, 2 Be 2.32
Fe 0.1679 0.3358 0.7500  4 Fe 2.31-2.35, 2 Be 2.32
Fe 0.8321 0.1679 0.2500  4 Fe 2.31-2.35, 2 Be 2.32
Fe 0.1679 0.8321 0.7500  4 Fe 2.31-2.35, 2 Be 2.32
Fe 0.3358 0.1679 0.2500  4 Fe 2.31-2.35, 2 Be 2.32
Fe 0.8321 0.6642 0.2500  4 Fe 2.31-2.35, 2 Be 2.32
Be 0.0000 0.0000 0.0000  6 Fe 2.32
Be 0.0000 0.0000 0.5000  6 Fe 2.32
Mo 0.3333 0.6667 0.4361  9 Fe 2.72, 3 Be 2.74, 4 Mo 2.81-2.86
Mo 0.6667 0.3333 0.5639  9 Fe 2.72, 3 Be 2.74, 4 Mo 2.81-2.86
Mo 0.6667 0.3333 0.9361  9 Fe 2.72, 3 Be 2.74, 4 Mo 2.81-2.86
Mo 0.3333 0.6667 0.0639  9 Fe 2.72, 3 Be 2.74, 4 Mo 2.81-2.86

Output
Magnetization = 10.3 μB per cell
Total energy = -101.8 eV/cell
SG = P6_3/mmc (194)


# 2
A plane-wave DFT calculation with GGA-PBE was carried out for an optimized crystal structure of BeFe2Mo.

a = 4.0312 Å, b = 4.0312 Å, c = 4.0312 Å
α = 60.00°, β = 60.00°, γ = 60.00°
With the nearest neighbours (Å) after each atom.
Fractional positions:
Fe 0.0000 0.0000 0.0000  4 Fe 2.47, 4 Mo 2.47
Fe 0.7500 0.7500 0.7500  4 Fe 2.47, 4 Be 2.47
Mo 0.2500 0.2500 0.2500  4 Be 2.47, 4 Fe 2.47
Be 0.5000 0.5000 0.5000  4 Mo 2.47, 4 Fe 2.47

Output
Magnetization = 3.9 μB per cell
Total energy = -31.0 eV/cell
SG = F-43m (216)


# 3
A plane-wave DFT calculation with GGA-PBE was carried out for an optimized crystal structure of BeFeMo2.

a = 4.1942 Å, b = 4.1942 Å, c = 4.1942 Å
α = 60.00°, β = 60.00°, γ = 60.00°
With the nearest neighbours (Å) after each atom.
Fractional positions:
Be 0.5000 0.5000 0.5000  4 Fe 2.57, 4 Mo 2.57
Mo 0.7500 0.7500 0.7500  4 Be 2.57, 4 Mo 2.57
Mo 0.0000 0.0000 0.0000  4 Mo 2.57, 4 Fe 2.57
Fe 0.2500 0.2500 0.2500  4 Be 2.57, 4 Mo 2.57

Output
Magnetization = 1.7 μB per cell
Total energy = -32.9 eV/cell
SG = F-43m (216)


# 4
A plane-wave DFT calculation with GGA-PBE was carried out for an optimized crystal structure of BeFeMoPb.

a = 4.3552 Å, b = 4.3552 Å, c = 4.3552 Å
α = 60.00°, β = 60.00°, γ = 60.00°
With the nearest neighbours (Å) after each atom.
Fractional positions:
Mo 0.5000 0.5000 0.5000  4 Fe 2.67, 4 Be 2.67
Pb 0.0000 0.0000 0.0000  4 Fe 2.67, 4 Be 2.67
Fe 0.7500 0.7500 0.7500  4 Mo 2.67, 4 Pb 2.67
Be 0.2500 0.2500 0.2500  4 Pb 2.67, 4 Mo 2.67

Output
E above lowest polymorph = 0.00 kJ/mol of atoms
Magnetization = 2.0 μB per cell
Total energy = -24.0 eV/cell
SG = F-43m (216)


# 5
A plane-wave DFT calculation with GGA-PBE was carried out for an optimized crystal structure of BeFeSiMo.

a = 4.0340 Å, b = 4.0340 Å, c = 4.0340 Å
α = 60.00°, β = 60.00°, γ = 60.00°
With the nearest neighbours (Å) after each atom.
Fractional positions:
Si 0.0000 0.0000 0.0000  4 Be 2.47, 4 Fe 2.47
Mo 0.5000 0.5000 0.5000  4 Be 2.47, 4 Fe 2.47
Fe 0.7500 0.7500 0.7500  4 Mo 2.47, 4 Si 2.47
Be 0.2500 0.2500 0.2500  4 Mo 2.47, 4 Si 2.47

Output
E above lowest polymorph = 5.98 kJ/mol of atoms
Magnetization = 1.6 μB per cell
Total energy = -28.3 eV/cell
SG = F-43m (216)


# 6
A plane-wave DFT calculation with GGA-PBE was carried out for an optimized crystal structure of BeFeSiMo.

a = 4.0503 Å, b = 4.0503 Å, c = 4.0503 Å
α = 60.00°, β = 60.00°, γ = 60.00°
With the nearest neighbours (Å) after each atom.
Fractional positions:
Mo 0.2500 0.2500 0.2500  4 Be 2.48, 4 Si 2.48
Be 0.5000 0.5000 0.5000  4 Mo 2.48, 4 Fe 2.48
Si 0.0000 0.0000 0.0000  4 Mo 2.48, 4 Fe 2.48
Fe 0.7500 0.7500 0.7500  4 Be 2.48, 4 Si 2.48

Output
E above lowest polymorph = 0.00 kJ/mol of atoms
Magnetization = 2.4 μB per cell
Total energy = -28.6 eV/cell
SG = F-43m (216)